A relaxed structure of Mn2PbI2O2, computed with PBE with a Hubbard U. Values from VASP.

Structure (Quantum ESPRESSO input):
```
&SYSTEM
  ibrav = 0, nat = 7, ntyp = 4
/
ATOMIC_SPECIES
Mn 54.94 Mn.upf
Pb 207.20 Pb.upf
I 126.90 I.upf
O 16.00 O.upf
CELL_PARAMETERS angstrom
7.363 -1.782 0.000
7.363 1.782 0.000
-4.095 0.000 6.614
ATOMIC_POSITIONS angstrom
Mn 2.474 0.000 0.026
Mn 8.157 0.000 6.588
Pb 5.315 0.000 3.307
I 2.407 0.000 4.852
I 8.224 0.000 1.761
O 4.416 0.000 0.941
O 6.215 0.000 5.673
```

Results
N(E_F) ... 2.98 states/eV/f.u.
Space-group type ... No. 12
Magnetic moment ... 1.347 μB/atom
Total energy ... -5.398 eV/atom